12
Lattice="4.0926 0.0000 0.0000 -2.0463 3.5443 0.0000 0.0000 0.0000 22.3743" Properties=species:S:1:pos:R:3 comment="Sm2IrCl | Alexandria via LeMat-Bulk | PBE | optimized geometry" e_tot_ev_per_atom=-6.24 n_ef_per_ev_cell=3.6 vol_a3_per_atom=27.05 raw_formation_energy_ev_per_atom=-1.2000 pbc="T T T"
Sm 0.0000 0.0000 5.2352
Sm 0.0000 0.0000 17.1391
Sm 0.0000 2.3629 9.6810
Sm 0.0000 2.3629 20.1514
Sm 2.0463 1.1814 2.2229
Sm 2.0463 1.1814 12.6933
Ir 0.0000 0.0000 11.1871
Ir 0.0000 2.3629 3.7291
Ir 2.0463 1.1814 18.6452
Cl 0.0000 0.0000 0.0000
Cl 0.0000 2.3629 14.9162
Cl 2.0463 1.1814 7.4581

=====

10
Lattice="5.5747 0.0000 0.0000 0.0000 5.5747 0.0000 0.0000 0.0000 4.0801" Properties=species:S:1:pos:R:3 comment="Ca2OsRhO6 | Alexandria via LeMat-Bulk | PBE | optimized geometry" e_tot_ev_per_atom=-6.78 n_ef_per_ev_cell=5.9 vol_a3_per_atom=12.68 raw_formation_energy_ev_per_atom=-1.5482 pbc="T T T"
Ca 0.0000 2.7874 0.0000
Ca 2.7874 0.0000 0.0000
Os 0.0000 0.0000 2.3449
Rh 2.7874 2.7874 2.3895
O 0.0000 0.0000 0.4166
O 1.3653 1.3653 2.6150
O 1.3653 4.2095 2.6150
O 2.7874 2.7874 0.3942
O 4.2095 1.3653 2.6150
O 4.2095 4.2095 2.6150

=====

8
Lattice="7.2177 0.0000 0.0000 0.0000 4.1500 0.0000 -2.3957 0.0000 6.8844" Properties=species:S:1:pos:R:3 comment="ZnCd2Te | Alexandria via LeMat-Bulk | PBE | optimized geometry" e_tot_ev_per_atom=-1.58 n_ef_per_ev_cell=3.7 vol_a3_per_atom=25.78 raw_formation_energy_ev_per_atom=-0.0227 pbc="T T T"
Zn 0.0000 0.0000 0.0000
Zn 3.6089 2.0750 0.0000
Cd 0.0041 0.0000 5.2474
Cd 2.4090 0.0000 3.4095
Cd 3.6130 2.0750 5.2474
Cd 6.0179 2.0750 3.4095
Te 1.2078 2.0750 1.4015
Te 4.8167 0.0000 1.4015

=====

10
Lattice="3.6063 0.0000 0.0000 0.0000 3.6063 0.0000 0.0000 0.0000 24.2922" Properties=species:S:1:pos:R:3 comment="Pm4Dy5Cd | Alexandria via LeMat-Bulk | PBE | optimized geometry" e_tot_ev_per_atom=-4.34 n_ef_per_ev_cell=12.8 vol_a3_per_atom=31.59 formation_energy_ev_per_fu=-0.49 pbc="T T T"
Pm 0.0000 0.0000 2.5300
Pm 0.0000 0.0000 7.6030
Pm 0.0000 0.0000 16.6893
Pm 0.0000 0.0000 21.7622
Dy 1.8031 1.8031 0.0000
Dy 1.8031 1.8031 5.0720
Dy 1.8031 1.8031 10.1156
Dy 1.8031 1.8031 14.1766
Dy 1.8031 1.8031 19.2203
Cd 0.0000 0.0000 12.1461

=====

16
Lattice="6.7914 0.0000 0.0000 0.0000 6.7914 0.0000 0.0000 0.0000 6.7914" Properties=species:S:1:pos:R:3 comment="NpZnInCu | Alexandria via LeMat-Bulk | PBE | optimized geometry" e_tot_ev_per_atom=-5.16 n_ef_per_ev_cell=32.8 vol_a3_per_atom=19.58 formation_energy_ev_per_fu=0.40 pbc="T T T"
Np 0.0000 0.0000 0.0000
Np 0.0000 3.3957 3.3957
Np 3.3957 0.0000 3.3957
Np 3.3957 3.3957 0.0000
Zn 1.6979 1.6979 1.6979
Zn 1.6979 5.0936 5.0936
Zn 5.0936 1.6979 5.0936
Zn 5.0936 5.0936 1.6979
In 0.0000 0.0000 3.3957
In 0.0000 3.3957 0.0000
In 3.3957 0.0000 0.0000
In 3.3957 3.3957 3.3957
Cu 1.6979 1.6979 5.0936
Cu 1.6979 5.0936 1.6979
Cu 5.0936 1.6979 1.6979
Cu 5.0936 5.0936 5.0936

=====

7
Lattice="1.9774 1.1416 14.9843 -1.9774 1.1416 14.9843 0.0000 -2.2832 14.9843" Properties=species:S:1:pos:R:3 comment="Dy4HoPd2 | Alexandria via LeMat-Bulk | PBE | optimized geometry" e_tot_ev_per_atom=-5.12 n_ef_per_ev_cell=8.8 vol_a3_per_atom=28.99 formation_energy_ev_per_fu=-2.44 pbc="T T T"
Dy 0.0000 0.0000 4.7113
Dy 0.0000 0.0000 13.5680
Dy 0.0000 0.0000 31.3850
Dy 0.0000 0.0000 40.2417
Ho 0.0000 0.0000 22.4765
Pd 0.0000 0.0000 18.0454
Pd 0.0000 0.0000 26.9076

=====

5
Lattice="4.2425 0.0000 0.0000 0.0000 4.2425 0.0000 0.0000 0.0000 5.0245" Properties=species:S:1:pos:R:3 comment="RbBOsW2 | Alexandria via LeMat-Bulk | PBE | optimized geometry" e_tot_ev_per_atom=-6.92 n_ef_per_ev_cell=7.0 vol_a3_per_atom=18.09 formation_energy_ev_per_fu=10.20 pbc="T T T"
Rb 0.0000 0.0000 0.0000
B 0.0000 0.0000 2.5123
Os 2.1213 2.1213 0.0000
W 0.0000 2.1213 2.5123
W 2.1213 0.0000 2.5123

=====

4
Lattice="3.8996 0.0000 0.0000 0.0000 4.0058 0.0000 0.0000 0.0000 7.9012" Properties=species:S:1:pos:R:3 comment="KScHg2 | Alexandria via LeMat-Bulk | PBE | optimized geometry" e_tot_ev_per_atom=-2.05 n_ef_per_ev_cell=2.8 vol_a3_per_atom=30.86 formation_energy_ev_per_fu=-0.18 pbc="T T T"
K 0.0000 0.0000 0.0000
Sc 1.9498 2.0029 4.9113
Hg 0.0000 0.0000 4.0709
Hg 1.9498 2.0029 1.9955

=====

20
Lattice="3.8546 2.2255 13.1302 -3.8546 2.2255 13.1302 0.0000 -4.4509 13.1302" Properties=species:S:1:pos:R:3 comment="Cs2MgInCl6 | Alexandria via LeMat-Bulk | PBE | optimized geometry" e_tot_ev_per_atom=-3.40 n_ef_per_ev_cell=0.0 vol_a3_per_atom=33.79 raw_formation_energy_ev_per_atom=-1.6883 pbc="T T T"
Cs 0.0000 0.0000 4.6725
Cs 0.0000 0.0000 11.7897
Cs 0.0000 0.0000 27.6008
Cs 0.0000 0.0000 34.7180
Mg 0.0000 0.0000 16.2960
Mg 0.0000 0.0000 23.0945
In 0.0000 0.0000 0.0000
In 0.0000 0.0000 19.6953
Cl -1.7289 -0.9982 18.1122
Cl 0.0000 -2.0785 15.0579
Cl -1.8001 1.0393 15.0579
Cl -1.8001 -1.0393 24.3326
Cl 0.0000 -1.9963 21.2783
Cl -1.7289 0.9982 21.2783
Cl 1.7289 -0.9982 18.1122
Cl 0.0000 1.9963 18.1122
Cl 1.8001 1.0393 15.0578
Cl 1.8001 -1.0393 24.3327
Cl 0.0000 2.0785 24.3327
Cl 1.7289 0.9982 21.2783

=====

10
Lattice="3.9346 2.2717 7.1176 -3.9346 2.2717 7.1176 0.0000 -4.5433 7.1176" Properties=species:S:1:pos:R:3 comment="Nd2SmHoTe6 | Alexandria via LeMat-Bulk | PBE | optimized geometry" e_tot_ev_per_atom=-5.14 vol_a3_per_atom=38.17 raw_formation_energy_ev_per_atom=-1.3724 pbc="T T T"
Nd 0.0000 0.0000 0.0000
Nd 0.0000 0.0000 10.6584
Sm 0.0000 0.0000 4.0606
Ho 0.0000 0.0000 14.7140
Te -1.3226 -2.4677 9.1866
Te -2.4113 0.0710 12.7763
Te -1.4758 2.3792 9.1866
Te 1.1441 -2.1237 12.7763
Te 2.7984 0.0884 9.1866
Te 1.2671 2.0527 12.7763

=====

16
Lattice="6.9094 0.0000 0.0000 0.0000 6.9094 0.0000 0.0000 0.0000 6.9094" Properties=species:S:1:pos:R:3 comment="PmTiAl2 | Alexandria via LeMat-Bulk | PBE | optimized geometry" e_tot_ev_per_atom=-5.20 n_ef_per_ev_cell=18.3 vol_a3_per_atom=20.62 formation_energy_ev_per_fu=-0.67 pbc="T T T"
Pm 0.0000 0.0000 0.0000
Pm 0.0000 3.4547 3.4547
Pm 3.4547 0.0000 3.4547
Pm 3.4547 3.4547 0.0000
Ti 0.0000 0.0000 3.4547
Ti 0.0000 3.4547 0.0000
Ti 3.4547 0.0000 0.0000
Ti 3.4547 3.4547 3.4547
Al 1.7273 1.7273 1.7273
Al 1.7273 1.7273 5.1820
Al 1.7273 5.1820 1.7273
Al 1.7273 5.1820 5.1820
Al 5.1820 1.7273 1.7273
Al 5.1820 1.7273 5.1820
Al 5.1820 5.1820 1.7273
Al 5.1820 5.1820 5.1820

=====

5
Lattice="5.1395 0.0000 0.0000 0.0000 5.1395 0.0000 0.0000 0.0000 5.1395" Properties=species:S:1:pos:R:3 comment="TcSe3Br | Alexandria via LeMat-Bulk | PBE | optimized geometry" e_tot_ev_per_atom=-3.10 n_ef_per_ev_cell=3.2 vol_a3_per_atom=27.15 raw_formation_energy_ev_per_atom=1.3961 pbc="T T T"
Tc 0.0000 0.0000 0.0000
Se 0.0000 2.5698 2.5698
Se 2.5698 0.0000 2.5698
Se 2.5698 2.5698 0.0000
Br 2.5698 2.5698 2.5698

=====

Number 6 is which compound? Dy4HoPd2

=====

What is the formula in the fifth record? NpZnInCu